Density functional theory data (meta-GGA SCAN) for a crystal of Cu3PC relaxed with PBEsol.

Output
E above lowest polymorph   0 meV/atom
Calculated volume   58.04 Å³/cell
Space group   No. 221
Energy of formation   16.1 kcal/mol of atoms
Spin magnetization   0.00 μB per formula unit

a b c (Å): 3.8717 3.8717 3.8717
angles (deg): 90.00 90.00 90.00
Atoms (fractional coordinates):
P 0.5000 0.5000 0.5000
C 0.0000 0.0000 0.0000
Cu 0.0000 0.5000 0.0000
Cu 0.0000 0.0000 0.5000
Cu 0.5000 0.0000 0.0000